Entry 1:
## La3Sm3In2Ga (PBE-GGA)

Data for a geometry-optimized La3Sm3In2Ga structure.

POSCAR file:
```
La3Sm3In2Ga
1.0
9.147 0.000 0.000
-4.573 7.921 0.000
0.000 0.000 3.834
La Sm In Ga
3 3 2 1
Direct
0.000 0.730 0.000 La
0.270 0.270 0.000 La
0.730 0.000 0.000 La
0.000 0.391 0.500 Sm
0.391 0.000 0.500 Sm
0.609 0.609 0.500 Sm
0.333 0.667 0.000 In
0.667 0.333 0.000 In
0.000 0.000 0.500 Ga
```

Calculated values
**Energy of formation**: -0.340 eV per atom
**Uncorrected energy**: -4.50 eV/atom
**Symmetry**: P-62m

Entry 2:
## CaHoCl5 (PBE-GGA)

Data for a geometry-optimized CaHoCl5 structure.

POSCAR file:
```
CaHoCl5
1.0
5.408 -4.680 0.000
5.408 4.680 0.000
-5.350 0.000 9.408
Ca Ho Cl
2 2 10
Direct
0.160 0.840 0.750 Ca
0.840 0.160 0.250 Ca
0.500 0.500 0.000 Ho
0.500 0.500 0.500 Ho
0.208 0.239 0.862 Cl
0.209 0.765 0.500 Cl
0.235 0.791 0.000 Cl
0.239 0.208 0.362 Cl
0.470 0.530 0.750 Cl
0.530 0.470 0.250 Cl
0.761 0.792 0.638 Cl
0.765 0.209 0.000 Cl
0.791 0.235 0.500 Cl
0.792 0.761 0.138 Cl
```

Calculated values
**Uncorrected energy**: -4.52 eV/atom
**Symmetry**: C2/c
**Uncorrected formation energy**: -2.26 eV/atom

Entry 3:
## NdTh2RhN4 (PBE-GGA)

Data for a geometry-optimized NdTh2RhN4 structure.

POSCAR file:
```
NdTh2RhN4
1.0
1.753 -6.074 0.000
1.753 6.074 0.000
0.000 0.000 12.070
Nd Th Rh N
2 4 2 8
Direct
0.112 0.888 0.750 Nd
0.888 0.112 0.250 Nd
0.370 0.630 0.556 Th
0.370 0.630 0.944 Th
0.630 0.370 0.056 Th
0.630 0.370 0.444 Th
0.150 0.850 0.250 Rh
0.850 0.150 0.750 Rh
0.000 0.000 0.000 N
0.000 0.000 0.500 N
0.275 0.725 0.119 N
0.275 0.725 0.381 N
0.458 0.542 0.750 N
0.542 0.458 0.250 N
0.725 0.275 0.619 N
0.725 0.275 0.881 N
```

Calculated values
**Uncorrected energy**: -8.63 eV/atom
**Symmetry**: Cmcm
**Uncorrected formation energy**: -1.10 eV/atom

Entry 4:
## Gd2MgGe (PBE-GGA)

Data for a geometry-optimized Gd2MgGe structure.

POSCAR file:
```
Gd2MgGe
1.0
4.851 0.000 0.000
0.000 4.851 0.000
0.000 0.000 4.188
Gd Mg Ge
2 1 1
Direct
0.000 0.500 0.000 Gd
0.500 0.000 0.000 Gd
0.000 0.000 0.500 Mg
0.500 0.500 0.500 Ge
```

Calculated values
**Energy of formation**: -0.425 eV per atom
**Uncorrected energy**: -9.02 eV/atom
**Symmetry**: P4/mmm
**Energy above the most stable polymorph in this dataset**: 0 meV per atom

Entry 5:
## RbMg2Se2 (PBE-GGA)

Data for a geometry-optimized RbMg2Se2 structure.

POSCAR file:
```
RbMg2Se2
1.0
8.822 0.000 0.000
0.000 8.822 0.000
0.000 0.000 3.881
Rb Mg Se
2 4 4
Direct
0.000 0.000 0.000 Rb
0.500 0.500 0.000 Rb
0.123 0.377 0.000 Mg
0.377 0.877 0.000 Mg
0.623 0.123 0.000 Mg
0.877 0.623 0.000 Mg
0.244 0.744 0.500 Se
0.256 0.244 0.500 Se
0.744 0.756 0.500 Se
0.756 0.256 0.500 Se
```

Calculated values
**Uncorrected energy**: -2.90 eV/atom
**Symmetry**: P4/mbm
**Uncorrected formation energy**: -0.67 eV/atom
**Energy above the most stable polymorph in this dataset**: 243 meV per atom

Entry 6:
## EuPaAs2 (PBE-GGA)

Data for a geometry-optimized EuPaAs2 structure.

POSCAR file:
```
EuPaAs2
1.0
2.097 1.210 6.908
-2.097 1.210 6.908
0.000 -2.421 6.908
Eu Pa As
1 1 2
Direct
0.000 0.000 0.000 Eu
0.500 0.500 0.500 Pa
0.243 0.243 0.243 As
0.757 0.757 0.757 As
```

Calculated values
**Energy of formation**: -1.197 eV per atom
**Uncorrected energy**: -8.46 eV/atom
**Symmetry**: R-3m
**Energy above the most stable polymorph in this dataset**: 0 meV per atom